Record 1
A plane-wave DFT calculation with GGA-PBE was carried out for crystalline NaSbPb2 at its relaxed geometry.

Computed properties:
The crystal system is trigonal. As for the volume: 36.38 A^3/atom. Its symmetry is No. 166. Its final energy is -3.100 eV/atom.

Geometry as CIF:
```
data_NaSbPb2
_chemical_formula_sum 'Na1 Sb1 Pb2'
_space_group_name_H-M_alt 'P 1'
_space_group_IT_number 1
_cell_length_a 10.7230
_cell_length_b 10.7230
_cell_length_c 10.7230
_cell_angle_alpha 21.53
_cell_angle_beta 21.53
_cell_angle_gamma 21.53
loop_
_space_group_symop_operation_xyz
'x,y,z'
loop_
_atom_site_label
_atom_site_type_symbol
_atom_site_fract_x
_atom_site_fract_y
_atom_site_fract_z
Na1 Na 0.0000 0.0000 0.0000
Sb1 Sb 0.5000 0.5000 0.5000
Pb1 Pb 0.1007 0.1007 0.1007
Pb2 Pb 0.8993 0.8993 0.8993
```

Record 2
A plane-wave DFT calculation with GGA-PBE was carried out for crystalline NaSbPb2 at its relaxed geometry.

Computed properties:
The crystal system is trigonal. As for the volume: 32.26 A^3/atom. Its symmetry is No. 160. Its final energy is -3.205 eV/atom.

Geometry as CIF:
```
data_NaSbPb2
_chemical_formula_sum 'Na1 Sb1 Pb2'
_space_group_name_H-M_alt 'P 1'
_space_group_IT_number 1
_cell_length_a 9.3630
_cell_length_b 9.3630
_cell_length_c 9.3630
_cell_angle_alpha 25.01
_cell_angle_beta 25.01
_cell_angle_gamma 25.01
loop_
_space_group_symop_operation_xyz
'x,y,z'
loop_
_atom_site_label
_atom_site_type_symbol
_atom_site_fract_x
_atom_site_fract_y
_atom_site_fract_z
Na1 Na 0.0000 0.0000 0.0000
Sb1 Sb 0.8336 0.8336 0.8336
Pb1 Pb 0.2425 0.2425 0.2425
Pb2 Pb 0.4242 0.4242 0.4242
```

Record 3
A plane-wave DFT calculation with GGA-PBE was carried out for crystalline NaSbPb3 at its relaxed geometry.

Computed properties:
The crystal system is cubic. As for the volume: 42.85 A^3/atom. Its symmetry is No. 221. The energy above the lowest structure with this stoichiometry is 0.4470 eV/atom. Its final energy is -2.940 eV/atom.

Geometry as CIF:
```
data_NaSbPb3
_chemical_formula_sum 'Na1 Sb1 Pb3'
_space_group_name_H-M_alt 'P 1'
_space_group_IT_number 1
_cell_length_a 5.9839
_cell_length_b 5.9839
_cell_length_c 5.9839
_cell_angle_alpha 90.00
_cell_angle_beta 90.00
_cell_angle_gamma 90.00
loop_
_space_group_symop_operation_xyz
'x,y,z'
loop_
_atom_site_label
_atom_site_type_symbol
_atom_site_fract_x
_atom_site_fract_y
_atom_site_fract_z
Na1 Na 0.0000 0.0000 0.0000
Sb1 Sb 0.5000 0.5000 0.5000
Pb1 Pb 0.0000 0.5000 0.5000
Pb2 Pb 0.5000 0.0000 0.5000
Pb3 Pb 0.5000 0.5000 0.0000
```

Record 4
A plane-wave DFT calculation with GGA-PBE was carried out for crystalline Na4Sb5Pb at its relaxed geometry.

Computed properties:
The crystal system is tetragonal. As for the volume: 27.18 A^3/atom. Its symmetry is No. 123. Its final energy is -3.180 eV/atom.

Geometry as CIF:
```
data_Na4Sb5Pb
_chemical_formula_sum 'Na4 Sb5 Pb1'
_space_group_name_H-M_alt 'P 1'
_space_group_IT_number 1
_cell_length_a 3.3435
_cell_length_b 3.3435
_cell_length_c 24.3109
_cell_angle_alpha 90.00
_cell_angle_beta 90.00
_cell_angle_gamma 90.00
loop_
_space_group_symop_operation_xyz
'x,y,z'
loop_
_atom_site_label
_atom_site_type_symbol
_atom_site_fract_x
_atom_site_fract_y
_atom_site_fract_z
Na1 Na 0.0000 0.0000 0.0984
Na2 Na 0.0000 0.0000 0.2922
Na3 Na 0.0000 0.0000 0.7078
Na4 Na 0.0000 0.0000 0.9016
Sb1 Sb 0.5000 0.5000 0.0000
Sb2 Sb 0.5000 0.5000 0.1970
Sb3 Sb 0.5000 0.5000 0.3937
Sb4 Sb 0.5000 0.5000 0.6063
Sb5 Sb 0.5000 0.5000 0.8030
Pb1 Pb 0.0000 0.0000 0.5000
```

Record 5
A plane-wave DFT calculation with GGA-PBE was carried out for crystalline Na2SbPb at its relaxed geometry.

Computed properties:
The crystal system is tetragonal. As for the volume: 30.55 A^3/atom. Its symmetry is No. 122. Its final energy is -2.714 eV/atom.

Geometry as CIF:
```
data_Na2SbPb
_chemical_formula_sum 'Na4 Sb2 Pb2'
_space_group_name_H-M_alt 'P 1'
_space_group_IT_number 1
_cell_length_a 11.4174
_cell_length_b 11.4174
_cell_length_c 11.4174
_cell_angle_alpha 156.08
_cell_angle_beta 156.08
_cell_angle_gamma 34.08
loop_
_space_group_symop_operation_xyz
'x,y,z'
loop_
_atom_site_label
_atom_site_type_symbol
_atom_site_fract_x
_atom_site_fract_y
_atom_site_fract_z
Na1 Na 0.1166 0.6250 0.9916
Na2 Na 0.3750 0.3666 0.4916
Na3 Na 0.6334 0.1250 0.0084
Na4 Na 0.8750 0.8834 0.5084
Sb1 Sb 0.0000 0.0000 0.0000
Sb2 Sb 0.7500 0.2500 0.5000
Pb1 Pb 0.2500 0.7500 0.5000
Pb2 Pb 0.5000 0.5000 0.0000
```

Record 6
A plane-wave DFT calculation with GGA-PBE was carried out for crystalline NaSb2Pb at its relaxed geometry.

Computed properties:
The crystal system is tetragonal. As for the volume: 40.32 A^3/atom. Its symmetry is No. 122. Its final energy is -3.143 eV/atom.

Geometry as CIF:
```
data_NaSb2Pb
_chemical_formula_sum 'Na2 Sb4 Pb2'
_space_group_name_H-M_alt 'P 1'
_space_group_IT_number 1
_cell_length_a 7.7927
_cell_length_b 7.7927
_cell_length_c 7.7927
_cell_angle_alpha 122.22
_cell_angle_beta 122.22
_cell_angle_gamma 86.19
loop_
_space_group_symop_operation_xyz
'x,y,z'
loop_
_atom_site_label
_atom_site_type_symbol
_atom_site_fract_x
_atom_site_fract_y
_atom_site_fract_z
Na1 Na 0.0000 0.0000 0.0000
Na2 Na 0.7500 0.2500 0.5000
Sb1 Sb 0.1454 0.6250 0.0204
Sb2 Sb 0.3750 0.3954 0.5204
Sb3 Sb 0.6046 0.1250 0.9796
Sb4 Sb 0.8750 0.8546 0.4796
Pb1 Pb 0.2500 0.7500 0.5000
Pb2 Pb 0.5000 0.5000 0.0000
```

Record 7
A plane-wave DFT calculation with GGA-PBE was carried out for crystalline NaSb2Pb2 at its relaxed geometry.

Computed properties:
The crystal system is tetragonal. As for the volume: 31.73 A^3/atom. Its symmetry is No. 127. Its final energy is -3.453 eV/atom.

Geometry as CIF:
```
data_NaSb2Pb2
_chemical_formula_sum 'Na2 Sb4 Pb4'
_space_group_name_H-M_alt 'P 1'
_space_group_IT_number 1
_cell_length_a 8.8126
_cell_length_b 8.8126
_cell_length_c 4.0858
_cell_angle_alpha 90.00
_cell_angle_beta 90.00
_cell_angle_gamma 90.00
loop_
_space_group_symop_operation_xyz
'x,y,z'
loop_
_atom_site_label
_atom_site_type_symbol
_atom_site_fract_x
_atom_site_fract_y
_atom_site_fract_z
Na1 Na 0.0000 0.0000 0.0000
Na2 Na 0.5000 0.5000 0.0000
Sb1 Sb 0.1498 0.3502 0.0000
Sb2 Sb 0.3502 0.8502 0.0000
Sb3 Sb 0.6498 0.1498 0.0000
Sb4 Sb 0.8502 0.6498 0.0000
Pb1 Pb 0.1428 0.6428 0.5000
Pb2 Pb 0.3572 0.1428 0.5000
Pb3 Pb 0.6428 0.8572 0.5000
Pb4 Pb 0.8572 0.3572 0.5000
```

Record 8
A plane-wave DFT calculation with GGA-PBE was carried out for crystalline Na2Sb3Pb3 at its relaxed geometry.

Computed properties:
The crystal system is hexagonal. As for the volume: 29.73 A^3/atom. Its symmetry is No. 189. Its final energy is -3.370 eV/atom.

Geometry as CIF:
```
data_Na2Sb3Pb3
_chemical_formula_sum 'Na2 Sb3 Pb3'
_space_group_name_H-M_alt 'P 1'
_space_group_IT_number 1
_cell_length_a 8.8983
_cell_length_b 8.8983
_cell_length_c 3.4686
_cell_angle_alpha 90.00
_cell_angle_beta 90.00
_cell_angle_gamma 120.00
loop_
_space_group_symop_operation_xyz
'x,y,z'
loop_
_atom_site_label
_atom_site_type_symbol
_atom_site_fract_x
_atom_site_fract_y
_atom_site_fract_z
Na1 Na 0.3333 0.6667 0.0000
Na2 Na 0.6667 0.3333 0.0000
Sb1 Sb 0.0000 0.6271 0.5000
Sb2 Sb 0.3729 0.3729 0.5000
Sb3 Sb 0.6271 0.0000 0.5000
Pb1 Pb 0.0000 0.2244 0.0000
Pb2 Pb 0.2244 0.0000 0.0000
Pb3 Pb 0.7756 0.7756 0.0000
```